No. 1
First-principles (PBE) data for Li2Al2Pd after structural relaxation, as listed in the Alexandria database.

Results
D(E_F) = 1.9 states/eV/f.u.
Energy of formation from the pure elements = -0.482 eV per atom
Total DFT energy (no corrections) = -3.783 eV/atom
Volume = 14.6 Å³/atom
ΔE to the lowest computed polymorph = 0.00 kcal/mol of atoms

Cell lengths 7.822, 7.822, 4.349 Å; angles 90.00, 90.00, 146.85 degrees
Element x y z (fractional)
Li 0.056 0.944 0.750
Li 0.153 0.847 0.250
Li 0.847 0.153 0.750
Li 0.944 0.056 0.250
Al 0.250 0.750 0.750
Al 0.448 0.552 0.750
Al 0.552 0.448 0.250
Al 0.750 0.250 0.250
Pd 0.347 0.653 0.250
Pd 0.653 0.347 0.750



No. 2
First-principles (PBE) data for SbRhBr after structural relaxation, as listed in the Alexandria database.

Results
D(E_F) = 2.6 states/eV/f.u.
Raw formation energy = -0.03 eV/atom
Total DFT energy (no corrections) = -4.411 eV/atom
Volume = 22.4 Å³/atom
ΔE to the lowest computed polymorph = 5.83 kcal/mol of atoms

Cell lengths 6.439, 6.387, 3.365 Å; angles 75.65, 73.94, 30.41 degrees
Element x y z (fractional)
Sb 0.000 0.000 0.000
Rh 0.387 0.387 0.613
Br 0.736 0.736 0.264



No. 3
First-principles (PBE) data for Tc2AgBiH after structural relaxation, as listed in the Alexandria database.

Results
D(E_F) = 4.7 states/eV/f.u.
Total DFT energy (no corrections) = -3.813 eV/atom
Volume = 29.1 Å³/atom

Cell lengths 5.243, 5.243, 5.296 Å; angles 90.00, 90.00, 90.00 degrees
Element x y z (fractional)
Tc 0.000 0.500 0.000
Tc 0.500 0.000 0.000
Ag 0.000 0.000 0.000
Bi 0.000 0.000 0.500
H 0.500 0.500 0.500



No. 4
First-principles (PBE) data for Na2NbO2 after structural relaxation, as listed in the Alexandria database.

Results
D(E_F) = 1.8 states/eV/f.u.
Raw formation energy = -0.19 eV/atom
Total DFT energy (no corrections) = -4.712 eV/atom
Volume = 13.2 Å³/atom
ΔE to the lowest computed polymorph = 3.12 kcal/mol of atoms

Cell lengths 4.798, 4.798, 4.798 Å; angles 128.26, 128.26, 76.20 degrees
Element x y z (fractional)
Na 0.150 0.150 0.000
Na 0.850 0.850 0.000
Nb 0.500 0.500 0.000
O 0.250 0.750 0.500
O 0.750 0.250 0.500



No. 5
First-principles (PBE) data for ScBe2Rh2 after structural relaxation, as listed in the Alexandria database.

Results
D(E_F) = 1.8 states/eV/f.u.
Energy of formation from the pure elements = -0.720 eV per atom
Total DFT energy (no corrections) = -6.418 eV/atom
Volume = 12.6 Å³/atom
ΔE to the lowest computed polymorph = 0.00 kcal/mol of atoms

Cell lengths 6.592, 6.592, 2.907 Å; angles 90.00, 90.00, 90.00 degrees
Element x y z (fractional)
Sc 0.000 0.000 0.000
Sc 0.500 0.500 0.000
Be 0.117 0.383 0.000
Be 0.383 0.883 0.000
Be 0.617 0.117 0.000
Be 0.883 0.617 0.000
Rh 0.171 0.671 0.500
Rh 0.329 0.171 0.500
Rh 0.671 0.829 0.500
Rh 0.829 0.329 0.500



No. 6
First-principles (PBE) data for BaDyIn after structural relaxation, as listed in the Alexandria database.

Results
D(E_F) = 2.3 states/eV/f.u.
Energy of formation from the pure elements = -0.288 eV per atom
Total DFT energy (no corrections) = -3.376 eV/atom
Volume = 37.3 Å³/atom
ΔE to the lowest computed polymorph = 0.61 kcal/mol of atoms

Cell lengths 4.030, 4.030, 13.768 Å; angles 90.00, 90.00, 90.00 degrees
Element x y z (fractional)
Ba 0.250 0.250 0.140
Ba 0.750 0.750 0.860
Dy 0.250 0.250 0.424
Dy 0.750 0.750 0.576
In 0.250 0.250 0.686
In 0.750 0.750 0.314